Entry 1:
DFT (PBE-GGA) results for an optimized crystal structure of Dy6Si3H.

Summary:
**Total magnetic moment**: 0.0 μB per formula unit
**Raw total energy**: -5.17 eV/atom
**Crystal system**: orthorhombic

The structure in CIF format:
```
data_Dy6Si3H
_cell_length_a 6.6763
_cell_length_b 8.8210
_cell_length_c 8.8210
_cell_angle_alpha 102.38
_cell_angle_beta 90.00
_cell_angle_gamma 90.00
_space_group_name_H-M_alt 'P 1'
_space_group_IT_number 1
loop_
_space_group_symop_operation_xyz
'x,y,z'
loop_
_atom_site_label
_atom_site_type_symbol
_atom_site_fract_x
_atom_site_fract_y
_atom_site_fract_z
Dy1 Dy 0.1953 0.3644 0.3073
Dy2 Dy 0.6953 0.3073 0.3644
Dy3 Dy 0.1858 0.7741 0.2259
Dy4 Dy 0.6825 0.5680 0.1047
Dy5 Dy 0.1825 0.1047 0.5680
Dy6 Dy 0.1953 0.6927 0.6356
Dy7 Dy 0.6953 0.6356 0.6927
Dy8 Dy 0.6825 0.8953 0.4320
Dy9 Dy 0.6858 0.2259 0.7741
Dy10 Dy 0.1599 0.0455 0.9545
Dy11 Dy 0.6599 0.9545 0.0455
Dy12 Dy 0.1825 0.4320 0.8953
Si1 Si 0.4707 0.9395 0.7212
Si2 Si 0.4707 0.2788 0.0605
Si3 Si 0.4068 0.3880 0.6120
Si4 Si 0.9068 0.6120 0.3880
Si5 Si 0.9707 0.0605 0.2788
Si6 Si 0.9707 0.7212 0.9395
H1 H 0.5360 0.8008 0.1992
H2 H 0.0360 0.1992 0.8008
```

Entry 2:
DFT (PBE-GGA) results for an optimized crystal structure of La2Mg2Cd.

Summary:
**Total magnetic moment**: 0.0 μB per formula unit
**Formation energy**: -0.149 eV/atom
**Crystal system**: triclinic

The structure in CIF format:
```
data_La2Mg2Cd
_cell_length_a 5.7344
_cell_length_b 11.2049
_cell_length_c 14.6339
_cell_angle_alpha 18.95
_cell_angle_beta 78.57
_cell_angle_gamma 75.01
_space_group_name_H-M_alt 'P 1'
_space_group_IT_number 1
loop_
_space_group_symop_operation_xyz
'x,y,z'
loop_
_atom_site_label
_atom_site_type_symbol
_atom_site_fract_x
_atom_site_fract_y
_atom_site_fract_z
La1 La 0.8050 0.3581 0.4464
La2 La 0.1950 0.6419 0.5536
La3 La 0.6067 0.1468 0.0517
La4 La 0.3933 0.8532 0.9483
Mg1 Mg 0.0436 0.3994 0.1755
Mg2 Mg 0.6188 0.0990 0.3251
Mg3 Mg 0.3812 0.9010 0.6749
Mg4 Mg 0.9564 0.6006 0.8245
Cd1 Cd 0.1904 0.7481 0.2506
Cd2 Cd 0.8096 0.2519 0.7494
```

Entry 3:
DFT (PBE-GGA) results for an optimized crystal structure of SiAuSe4.

Summary:
**Total magnetic moment**: 0.0 μB per formula unit
**Energy relative to the elements, uncorrected**: 0.797 eV/atom
**Crystal system**: cubic

The structure in CIF format:
```
data_SiAuSe4
_cell_length_a 5.6828
_cell_length_b 5.6828
_cell_length_c 5.6828
_cell_angle_alpha 60.00
_cell_angle_beta 60.00
_cell_angle_gamma 60.00
_space_group_name_H-M_alt 'P 1'
_space_group_IT_number 1
loop_
_space_group_symop_operation_xyz
'x,y,z'
loop_
_atom_site_label
_atom_site_type_symbol
_atom_site_fract_x
_atom_site_fract_y
_atom_site_fract_z
Se1 Se 0.3753 0.3753 0.8741
Se2 Se 0.3753 0.8741 0.3753
Se3 Se 0.8741 0.3753 0.3753
Se4 Se 0.3753 0.3753 0.3753
Au1 Au 0.0000 0.0000 0.0000
Si1 Si 0.7500 0.7500 0.7500
```

Entry 4:
DFT (PBE-GGA) results for an optimized crystal structure of Rb2FeAsCl6.

Summary:
**Total magnetic moment**: 3.0 μB per formula unit
**Energy relative to the elements, uncorrected**: -1.014 eV/atom
**Crystal system**: tetragonal

The structure in CIF format:
```
data_Rb2FeAsCl6
_cell_length_a 7.5673
_cell_length_b 7.5673
_cell_length_c 7.0218
_cell_angle_alpha 57.40
_cell_angle_beta 57.40
_cell_angle_gamma 90.00
_space_group_name_H-M_alt 'P 1'
_space_group_IT_number 1
loop_
_space_group_symop_operation_xyz
'x,y,z'
loop_
_atom_site_label
_atom_site_type_symbol
_atom_site_fract_x
_atom_site_fract_y
_atom_site_fract_z
Cl1 Cl 0.2627 0.7373 0.0000
Cl2 Cl 0.7373 0.7373 0.0000
Cl3 Cl 0.7443 0.7443 0.5114
Cl4 Cl 0.2557 0.2557 0.4886
Cl5 Cl 0.2627 0.2627 0.0000
Cl6 Cl 0.7373 0.2627 0.0000
Rb1 Rb 0.7500 0.2500 0.5000
Rb2 Rb 0.2500 0.7500 0.5000
Fe1 Fe 0.5000 0.5000 0.0000
As1 As 0.0000 0.0000 0.0000
```

Entry 5:
DFT (PBE-GGA) results for an optimized crystal structure of CsHfTlF6.

Summary:
**Total magnetic moment**: 0.0 μB per formula unit
**Energy relative to the elements, uncorrected**: -3.239 eV/atom
**Crystal system**: monoclinic

The structure in CIF format:
```
data_CsHfTlF6
_cell_length_a 6.7192
_cell_length_b 6.7194
_cell_length_c 5.5418
_cell_angle_alpha 90.03
_cell_angle_beta 89.97
_cell_angle_gamma 59.81
_space_group_name_H-M_alt 'P 1'
_space_group_IT_number 1
loop_
_space_group_symop_operation_xyz
'x,y,z'
loop_
_atom_site_label
_atom_site_type_symbol
_atom_site_fract_x
_atom_site_fract_y
_atom_site_fract_z
F1 F 0.0813 0.5822 0.7025
F2 F 0.0838 0.3356 0.2960
F3 F 0.5798 0.3371 0.7044
F4 F 0.5825 0.0816 0.2977
F5 F 0.3365 0.5801 0.2957
F6 F 0.3361 0.0835 0.7042
Tl1 Tl 0.6663 0.6663 0.4996
Hf1 Hf 0.3334 0.3334 0.5001
Cs1 Cs 0.0000 0.0001 0.9998
```

Entry 6:
DFT (PBE-GGA) results for an optimized crystal structure of HfTlS2Cl.

Summary:
**Total magnetic moment**: 1.5 μB per formula unit
**Energy relative to the elements, uncorrected**: 0.573 eV/atom
**Crystal system**: tetragonal

The structure in CIF format:
```
data_HfTlS2Cl
_cell_length_a 5.0977
_cell_length_b 5.0977
_cell_length_c 5.0449
_cell_angle_alpha 90.00
_cell_angle_beta 90.00
_cell_angle_gamma 90.00
_space_group_name_H-M_alt 'P 1'
_space_group_IT_number 1
loop_
_space_group_symop_operation_xyz
'x,y,z'
loop_
_atom_site_label
_atom_site_type_symbol
_atom_site_fract_x
_atom_site_fract_y
_atom_site_fract_z
S1 S 0.5000 0.0000 0.0000
S2 S 0.0000 0.5000 0.0000
Tl1 Tl 0.0000 0.0000 0.0000
Cl1 Cl 0.0000 0.0000 0.5000
Hf1 Hf 0.5000 0.5000 0.5000
```

Entry 7:
DFT (PBE-GGA) results for an optimized crystal structure of ZnCrW2.

Summary:
**Total magnetic moment**: 0.5 μB per formula unit
**Formation energy**: 0.349 eV/atom
**Crystal system**: orthorhombic

The structure in CIF format:
```
data_ZnCrW2
_cell_length_a 2.6188
_cell_length_b 4.1792
_cell_length_c 5.3773
_cell_angle_alpha 90.00
_cell_angle_beta 90.00
_cell_angle_gamma 90.00
_space_group_name_H-M_alt 'P 1'
_space_group_IT_number 1
loop_
_space_group_symop_operation_xyz
'x,y,z'
loop_
_atom_site_label
_atom_site_type_symbol
_atom_site_fract_x
_atom_site_fract_y
_atom_site_fract_z
Cr1 Cr 0.5000 0.5000 0.7500
W1 W 0.0000 0.0000 0.5039
W2 W 0.0000 0.0000 0.9961
Zn1 Zn 0.5000 0.5000 0.2500
```

Entry 8:
DFT (PBE-GGA) results for an optimized crystal structure of ZrOs.

Summary:
**Total magnetic moment**: 0.0 μB per formula unit
**Formation energy**: 0.248 eV/atom
**Crystal system**: trigonal

The structure in CIF format:
```
data_ZrOs
_cell_length_a 2.8655
_cell_length_b 10.2383
_cell_length_c 2.8655
_cell_angle_alpha 98.04
_cell_angle_beta 60.00
_cell_angle_gamma 98.04
_space_group_name_H-M_alt 'P 1'
_space_group_IT_number 1
loop_
_space_group_symop_operation_xyz
'x,y,z'
loop_
_atom_site_label
_atom_site_type_symbol
_atom_site_fract_x
_atom_site_fract_y
_atom_site_fract_z
Zr1 Zr 0.5075 0.5226 0.5075
Zr2 Zr 0.7425 0.2274 0.7425
Os1 Os 0.9923 0.9768 0.9923
Os2 Os 0.2577 0.7732 0.2577
```

Entry 9:
DFT (PBE-GGA) results for an optimized crystal structure of TbZn6Ni12.

Summary:
**Total magnetic moment**: 0.0 μB per formula unit
**Formation energy**: 0.010 eV/atom
**Crystal system**: trigonal

The structure in CIF format:
```
data_TbZn6Ni12
_cell_length_a 6.6330
_cell_length_b 6.6330
_cell_length_c 6.6330
_cell_angle_alpha 104.58
_cell_angle_beta 104.58
_cell_angle_gamma 104.58
_space_group_name_H-M_alt 'P 1'
_space_group_IT_number 1
loop_
_space_group_symop_operation_xyz
'x,y,z'
loop_
_atom_site_label
_atom_site_type_symbol
_atom_site_fract_x
_atom_site_fract_y
_atom_site_fract_z
Ni1 Ni 0.5000 0.8900 0.1100
Ni2 Ni 0.3753 0.3753 0.1300
Ni3 Ni 0.3753 0.1300 0.3753
Ni4 Ni 0.1300 0.3753 0.3753
Ni5 Ni 0.1100 0.8900 0.5000
Ni6 Ni 0.8700 0.6247 0.6247
Ni7 Ni 0.6247 0.6247 0.8700
Ni8 Ni 0.8900 0.5000 0.1100
Ni9 Ni 0.8900 0.1100 0.5000
Ni10 Ni 0.6247 0.8700 0.6247
Ni11 Ni 0.5000 0.1100 0.8900
Ni12 Ni 0.1100 0.5000 0.8900
Zn1 Zn 0.7110 0.2918 0.7110
Zn2 Zn 0.7110 0.7110 0.2918
Zn3 Zn 0.7082 0.2890 0.2890
Zn4 Zn 0.2918 0.7110 0.7110
Zn5 Zn 0.2890 0.2890 0.7082
Zn6 Zn 0.2890 0.7082 0.2890
Tb1 Tb 0.0000 0.0000 0.0000
```

Entry 10:
DFT (PBE-GGA) results for an optimized crystal structure of Rb3Ag2Au.

Summary:
**Total magnetic moment**: 0.0 μB per formula unit
**Formation energy**: -0.064 eV/atom
**Crystal system**: orthorhombic

The structure in CIF format:
```
data_Rb3Ag2Au
_cell_length_a 5.0061
_cell_length_b 14.1516
_cell_length_c 13.8571
_cell_angle_alpha 90.00
_cell_angle_beta 90.00
_cell_angle_gamma 90.00
_space_group_name_H-M_alt 'P 1'
_space_group_IT_number 1
loop_
_space_group_symop_operation_xyz
'x,y,z'
loop_
_atom_site_label
_atom_site_type_symbol
_atom_site_fract_x
_atom_site_fract_y
_atom_site_fract_z
Rb1 Rb 0.7500 0.2081 0.2906
Rb2 Rb 0.2500 0.1209 0.5577
Rb3 Rb 0.7500 0.9496 0.1134
Rb4 Rb 0.7500 0.5504 0.6134
Rb5 Rb 0.2500 0.4496 0.3866
Rb6 Rb 0.7500 0.2919 0.7906
Rb7 Rb 0.2500 0.0504 0.8866
Rb8 Rb 0.2500 0.7919 0.7094
Rb9 Rb 0.7500 0.8791 0.4423
Rb10 Rb 0.2500 0.3791 0.0577
Rb11 Rb 0.7500 0.6209 0.9423
Rb12 Rb 0.2500 0.7081 0.2094
Au1 Au 0.7500 0.6381 0.3769
Au2 Au 0.7500 0.8619 0.8769
Au3 Au 0.2500 0.1381 0.1231
Au4 Au 0.2500 0.3619 0.6231
Ag1 Ag 0.2500 0.8141 0.9612
Ag2 Ag 0.2500 0.0198 0.2899
Ag3 Ag 0.7500 0.9802 0.7101
Ag4 Ag 0.2500 0.4802 0.7899
Ag5 Ag 0.7500 0.3141 0.5388
Ag6 Ag 0.7500 0.5198 0.2101
Ag7 Ag 0.2500 0.6859 0.4612
Ag8 Ag 0.7500 0.1859 0.0388
```

Entry 11:
DFT (PBE-GGA) results for an optimized crystal structure of TlRe2SnRh.

Summary:
**Total magnetic moment**: 3.8 μB per formula unit
**Formation energy**: 2.623 eV/atom
**Crystal system**: tetragonal

The structure in CIF format:
```
data_TlRe2SnRh
_cell_length_a 4.9274
_cell_length_b 5.3536
_cell_length_c 4.9274
_cell_angle_alpha 90.00
_cell_angle_beta 90.00
_cell_angle_gamma 90.00
_space_group_name_H-M_alt 'P 1'
_space_group_IT_number 1
loop_
_space_group_symop_operation_xyz
'x,y,z'
loop_
_atom_site_label
_atom_site_type_symbol
_atom_site_fract_x
_atom_site_fract_y
_atom_site_fract_z
Re1 Re 0.5000 0.0000 0.0000
Re2 Re 0.0000 0.0000 0.5000
Tl1 Tl 0.0000 0.5000 0.0000
Sn1 Sn 0.0000 0.0000 0.0000
Rh1 Rh 0.5000 0.5000 0.5000
```

Across the entries above, calculated density takes the values 6940, 4995, 6921, 3281, 4836, 6111, 13687, 13010, 8101, 4527, 10200 kg/m³, respectively.